Compound: MnIn3Tc
Source: Alexandria via LeMat-Bulk
Functional: GGA-PBE
Structure: relaxed

Structure (extended XYZ):
```
5
Lattice="-4.356 1.479 2.393 -2.757 -3.121 -3.090 0.559 -3.868 3.408" Properties=species:S:1:pos:R:3 pbc="T T T"
In -1.379 -1.561 -1.545
In -2.178 0.739 1.197
In 0.280 -1.934 1.704
Tc 0.000 0.000 0.000
Mn -3.277 -2.755 1.356
```

Properties
Space group: Pm-3m
Crystal system: cubic
Formation energy, meV/atom: 710
Magnetization, μB per cell: 5.7
Raw total energy, eV per atom: -4.840



Compound: Mn2In2Tc
Source: Alexandria via LeMat-Bulk
Functional: GGA-PBE
Structure: relaxed

Structure (extended XYZ):
```
5
Lattice="3.129 0.000 0.000 0.000 3.129 0.000 1.564 1.564 8.592" Properties=species:S:1:pos:R:3 pbc="T T T"
In 3.129 3.129 6.700
In 1.564 1.564 1.892
Mn 3.129 1.564 4.296
Mn 1.564 3.129 4.296
Tc 0.000 0.000 0.000
```

Properties
Space group: I4/mmm
Crystal system: tetragonal
Distance to the lowest polymorph of the same formula, meV/atom: 71
Formation energy, meV/atom: 590
Magnetization, μB per cell: 2.1
Raw total energy, eV per atom: -6.247



Compound: Mn2In2Tc
Source: Alexandria via LeMat-Bulk
Functional: GGA-PBE
Structure: relaxed

Structure (extended XYZ):
```
10
Lattice="-4.074 -4.306 -4.367 6.054 -1.983 -3.692 0.428 -2.453 2.019" Properties=species:S:1:pos:R:3 pbc="T T T"
In 0.379 -4.971 -6.118
In 3.738 -3.251 -4.741
In 1.601 -1.319 -1.941
In -1.758 -3.039 -3.318
Mn -1.153 -5.505 -3.898
Mn 2.590 -5.739 -4.975
Mn 3.562 -3.237 -2.142
Mn -0.182 -3.003 -1.064
Tc 0.000 0.000 0.000
Tc 0.990 -3.145 -4.029
```

Properties
Space group: P4/mbm
Crystal system: tetragonal
Distance to the lowest polymorph of the same formula, meV/atom: 0
Formation energy, meV/atom: 519
Magnetization, μB per cell: 11.5
Raw total energy, eV per atom: -6.318



> Which of these has the lowest raw total energy?

number 3